{
  "formula": "LiYC2N4",
  "functional": "PBE-GGA",
  "state": "optimized geometry",
  "cell": [[-1.4852, -5.4455, 2.2634], [5.5770, -3.0906, -3.7759], [6.0220, 1.5330, 7.6397]],
  "species": ["C", "C", "C", "C", "C", "C", "C", "C", "N", "N", "N", "N", "N", "N", "N", "N", "N", "N", "N", "N", "N", "N", "N", "N", "Y", "Y", "Y", "Y", "Li", "Li", "Li", "Li"],
  "fractional_positions": [[0.5703, 0.8938, 0.7408], [0.9297, 0.3938, 0.2408], [0.5703, 0.3938, 0.7592], [0.0703, 0.6062, 0.7592], [0.4297, 0.1062, 0.2592], [0.4297, 0.6062, 0.2408], [0.0703, 0.1062, 0.7408], [0.9297, 0.8938, 0.2592], [0.9222, 0.3747, 0.1169], [0.4377, 0.0864, 0.1344], [0.4222, 0.6253, 0.1169], [0.5623, 0.4136, 0.6344], [0.0623, 0.5864, 0.6344], [0.4222, 0.1253, 0.3831], [0.5778, 0.8747, 0.6169], [0.9377, 0.9136, 0.1344], [0.5778, 0.3747, 0.8831], [0.0623, 0.0864, 0.8656], [0.9377, 0.4136, 0.3656], [0.9222, 0.8747, 0.3831], [0.0778, 0.1253, 0.6169], [0.0778, 0.6253, 0.8831], [0.4377, 0.5864, 0.3656], [0.5623, 0.9136, 0.8656], [0.2500, 0.8648, 0.0000], [0.2500, 0.3648, 0.5000], [0.7500, 0.6352, 0.5000], [0.7500, 0.1352, 0.0000], [0.7500, 0.5747, 0.0000], [0.2500, 0.4253, 0.0000], [0.2500, 0.9253, 0.5000], [0.7500, 0.0747, 0.5000]],
  "space_group": "Pbcn",
  "dos_at_fermi_per_ev_cell": 0.000,
  "e_form_raw_kj_per_mol_fu": -576
}


{
  "formula": "Sm2ErHf",
  "functional": "PBE-GGA",
  "state": "optimized geometry",
  "cell": [[-3.2432, -1.4963, -1.8429], [-0.2816, -2.8556, 2.8141], [-4.2660, 4.3437, 3.9808]],
  "species": ["Hf", "Er", "Sm", "Sm"],
  "fractional_positions": [[0.5000, 0.5000, 0.0000], [0.5000, 0.5000, 0.5000], [0.0000, 0.0000, 0.2248], [0.0000, 0.0000, 0.7752]],
  "formation_enthalpy_0k_mev_per_atom": 215,
  "space_group": "P4/mmm",
  "dos_at_fermi_per_ev_cell": 5.032,
  "de_polymorph_ev_per_atom": 0.0677
}